Entry 1:
{"formula": "La2ScTiO6", "functional": "PBE", "state": "relaxed", "formation_energy_uncorrected_ev_per_atom": -3.359, "dft_energy_ev_per_cell": -174.83, "lattice": [[5.6678, 0.0000, 0.0000], [0.0000, 5.7538, 0.0000], [-5.6215, 0.0000, 8.0313]], "species": ["La", "La", "La", "La", "Sc", "Sc", "Ti", "Ti", "O", "O", "O", "O", "O", "O", "O", "O", "O", "O", "O", "O"], "frac_coords": [[0.2375, 0.0516, 0.2477], [0.2375, 0.4484, 0.7477], [0.7625, 0.5516, 0.2523], [0.7625, 0.9484, 0.7523], [0.5000, 0.0000, 0.0000], [0.5000, 0.5000, 0.5000], [0.0000, 0.0000, 0.5000], [0.0000, 0.5000, 0.0000], [0.1511, 0.2084, 0.9503], [0.1511, 0.2916, 0.4503], [0.2459, 0.6998, 0.9540], [0.2459, 0.8002, 0.4540], [0.3358, 0.0215, 0.7453], [0.3358, 0.4785, 0.2453], [0.6642, 0.5215, 0.7547], [0.6642, 0.9785, 0.2547], [0.7541, 0.1998, 0.5460], [0.7541, 0.3002, 0.0460], [0.8489, 0.7084, 0.5497], [0.8489, 0.7916, 0.0497]]}


Entry 2:
{"formula": "LaSc2TiO", "functional": "PBE", "state": "relaxed", "formation_energy_uncorrected_ev_per_atom": -1.056, "dft_energy_ev_per_cell": -35.72, "de_polymorph_ev_per_atom": 0.0000, "lattice": [[4.4014, 0.0000, 0.0000], [0.0000, 4.4014, 0.0000], [0.0000, 0.0000, 5.1563]], "species": ["La", "Sc", "Sc", "Ti", "O"], "frac_coords": [[0.0000, 0.0000, 0.0000], [0.0000, 0.5000, 0.5000], [0.5000, 0.0000, 0.5000], [0.5000, 0.5000, 0.0000], [0.0000, 0.0000, 0.5000]]}


Entry 3:
{"formula": "La2ScTiO", "functional": "PBE", "state": "relaxed", "formation_energy_uncorrected_ev_per_atom": -1.063, "dft_energy_ev_per_cell": -34.36, "de_polymorph_ev_per_atom": 0.0085, "lattice": [[5.2048, 0.0000, 0.0000], [0.0000, 5.2048, 0.0000], [0.0000, 0.0000, 4.2164]], "species": ["La", "La", "Sc", "Ti", "O"], "frac_coords": [[0.0000, 0.5000, 0.0000], [0.5000, 0.0000, 0.0000], [0.0000, 0.0000, 0.5000], [0.5000, 0.5000, 0.5000], [0.0000, 0.0000, 0.0000]]}


Entry 4:
{"formula": "La2ScTiO", "functional": "PBE", "state": "relaxed", "formation_energy_uncorrected_ev_per_atom": -1.072, "dft_energy_ev_per_cell": -34.40, "de_polymorph_ev_per_atom": 0.0000, "lattice": [[5.3168, 0.0000, 0.0000], [0.0000, 5.3168, 0.0000], [0.0000, 0.0000, 4.0257]], "species": ["La", "La", "Sc", "Ti", "O"], "frac_coords": [[0.0000, 0.5000, 0.0000], [0.5000, 0.0000, 0.0000], [0.0000, 0.0000, 0.5000], [0.5000, 0.5000, 0.5000], [0.5000, 0.5000, 0.0000]]}


Entry 5:
{"formula": "La2TmScO6", "functional": "PBE", "state": "relaxed", "formation_energy_uncorrected_ev_per_atom": -3.533, "dft_energy_ev_per_cell": -171.47, "lattice": [[5.7758, 0.0000, 0.0000], [0.0000, 5.9520, 0.0000], [-5.7396, 0.0000, 8.3110]], "species": ["La", "La", "La", "La", "Tm", "Tm", "Sc", "Sc", "O", "O", "O", "O", "O", "O", "O", "O", "O", "O", "O", "O"], "frac_coords": [[0.2361, 0.0483, 0.2503], [0.2361, 0.4517, 0.7503], [0.7639, 0.5483, 0.2497], [0.7639, 0.9517, 0.7497], [0.5000, 0.0000, 0.0000], [0.5000, 0.5000, 0.5000], [0.0000, 0.0000, 0.5000], [0.0000, 0.5000, 0.0000], [0.1301, 0.2041, 0.9379], [0.1301, 0.2959, 0.4379], [0.2358, 0.6940, 0.9401], [0.2358, 0.8060, 0.4401], [0.3588, 0.0460, 0.7443], [0.3588, 0.4540, 0.2443], [0.6412, 0.5460, 0.7557], [0.6412, 0.9540, 0.2557], [0.7642, 0.1940, 0.5599], [0.7642, 0.3060, 0.0599], [0.8699, 0.7041, 0.5621], [0.8699, 0.7959, 0.0621]]}


Repeat the first record exactly.
{"formula": "La2ScTiO6", "functional": "PBE", "state": "relaxed", "formation_energy_uncorrected_ev_per_atom": -3.359, "dft_energy_ev_per_cell": -174.83, "lattice": [[5.6678, 0.0000, 0.0000], [0.0000, 5.7538, 0.0000], [-5.6215, 0.0000, 8.0313]], "species": ["La", "La", "La", "La", "Sc", "Sc", "Ti", "Ti", "O", "O", "O", "O", "O", "O", "O", "O", "O", "O", "O", "O"], "frac_coords": [[0.2375, 0.0516, 0.2477], [0.2375, 0.4484, 0.7477], [0.7625, 0.5516, 0.2523], [0.7625, 0.9484, 0.7523], [0.5000, 0.0000, 0.0000], [0.5000, 0.5000, 0.5000], [0.0000, 0.0000, 0.5000], [0.0000, 0.5000, 0.0000], [0.1511, 0.2084, 0.9503], [0.1511, 0.2916, 0.4503], [0.2459, 0.6998, 0.9540], [0.2459, 0.8002, 0.4540], [0.3358, 0.0215, 0.7453], [0.3358, 0.4785, 0.2453], [0.6642, 0.5215, 0.7547], [0.6642, 0.9785, 0.2547], [0.7541, 0.1998, 0.5460], [0.7541, 0.3002, 0.0460], [0.8489, 0.7084, 0.5497], [0.8489, 0.7916, 0.0497]]}